Entry 1:
The following is a PBE calculation of Ce12Ir6C after structural relaxation, from Alexandria via LeMat-Bulk.

**Energy of formation from the pure elements**: -10.49 kcal/mol of atoms
**Spin magnetization**: 28.30 Bohr magnetons per cell
**Crystal system**: trigonal

a b c (Å): 12.2225 12.2225 11.8180
angles (deg): 90.00 90.00 120.00
Space group R-3 (No. 148, hexagonal axes)
Asymmetric unit:
1 Ce 0.0211 0.8079 0.3941 [18 per cell]
2 Ce 0.0390 0.8492 0.8859 [18 per cell]
3 Ir 0.0455 0.7767 0.6496 [18 per cell]
4 C 0.0000 0.0000 0.0000 [3 per cell]

---

Entry 2:
The following is a PBE calculation of AcCe2Zn2Sn2 after structural relaxation, from Alexandria via LeMat-Bulk.

**Energy of formation from the pure elements**: -8.36 kcal/mol of atoms
**Spin magnetization**: 7.47 Bohr magnetons per cell
**Crystal system**: trigonal

a b c (Å): 4.5908 4.5908 30.1271
angles (deg): 90.00 90.00 120.00
Space group R-3m (No. 166, hexagonal axes)
Asymmetric unit:
1 Ac 0.0000 0.0000 0.0000 [3 per cell]
2 Ce 0.0000 0.0000 0.1446 [6 per cell]
3 Zn 0.0000 0.0000 0.4245 [6 per cell]
4 Sn 0.0000 0.0000 0.2611 [6 per cell]

---

Entry 3:
The following is a PBE calculation of Re2SbAu after structural relaxation, from Alexandria via LeMat-Bulk.

**Formation energy (no corrections)**: 0.627 eV per atom
**Spin magnetization**: 0.00 Bohr magnetons per cell
**Crystal system**: monoclinic

a b c (Å): 9.399 3.040 4.911
angles (deg): 90.00 99.07 90.00
Space group Cm (No. 8)
Asymmetric unit:
1 Re 0.000 0.000 0.000 [2 per cell]
2 Re 0.228 0.500 0.204 [2 per cell]
3 Sb 0.483 0.000 0.470 [2 per cell]
4 Au 0.250 0.000 0.739 [2 per cell]

---

Entry 4:
The following is a PBE calculation of SrCrNi after structural relaxation, from Alexandria via LeMat-Bulk.

**Energy of formation from the pure elements**: 9.78 kcal/mol of atoms
**Spin magnetization**: 4.19 Bohr magnetons per cell
**Crystal system**: hexagonal
**Offset from the most stable computed form**: 103.1 meV/atom

a b c (Å): 4.2214 4.2214 4.6011
angles (deg): 90.00 90.00 120.00
Space group P-6m2 (No. 187)
Asymmetric unit:
1 Sr 0.0000 0.0000 0.0000 [1 per cell]
2 Cr 0.6667 0.3333 0.5000 [1 per cell]
3 Ni 0.3333 0.6667 0.5000 [1 per cell]

---

Number 1: D(E_F) 3.02 states/eV per atom. Number 2: D(E_F) 1.69 states/eV per atom. Number 3: D(E_F) 0.74 states/eV per atom. Number 4: D(E_F) 0.79 states/eV per atom.